1.
# SnTe2OsN GGA-PBE optimized geometry
data_SnTe2OsN
_space_group_name_H-M_alt 'P 4/m m m'
_space_group_IT_number 123
_space_group_name_Hall '-P 4 2'
_cell_length_a 5.681
_cell_length_b 5.681
_cell_length_c 3.823
_cell_angle_alpha 90.00
_cell_angle_beta 90.00
_cell_angle_gamma 90.00
loop_
_atom_site_label
_atom_site_type_symbol
_atom_site_fract_x
_atom_site_fract_y
_atom_site_fract_z
Sn1 Sn 0.000 0.000 0.000
Te1 Te 0.000 0.500 0.000
Os1 Os 0.500 0.500 0.500
N1 N 0.000 0.000 0.500
# Total magnetic moment (μB per formula unit): 2.6
# Formation energy without anion corrections (eV/f.u.): 8.73
# Total energy (eV per atom): -4.221

---

2.
# Pu2SbPt GGA-PBE optimized geometry
data_Pu2SbPt
_space_group_name_H-M_alt 'R -3 m'
_space_group_IT_number 166
_space_group_name_Hall '-R 3 2"'
_cell_length_a 4.2446
_cell_length_b 4.2446
_cell_length_c 21.0589
_cell_angle_alpha 90.00
_cell_angle_beta 90.00
_cell_angle_gamma 120.00
loop_
_atom_site_label
_atom_site_type_symbol
_atom_site_fract_x
_atom_site_fract_y
_atom_site_fract_z
Pu1 Pu 0.0000 0.0000 0.2404
Sb1 Sb 0.0000 0.0000 0.0000
Pt1 Pt 0.0000 0.0000 0.5000
# Total magnetic moment (μB per formula unit): 10.8
# Formation energy without anion corrections (eV/f.u.): -2.40
# Total energy (eV per atom): -10.307

---

3.
# MgInNiAg GGA-PBE optimized geometry
data_MgInNiAg
_space_group_name_H-M_alt 'F -4 3 m'
_space_group_IT_number 216
_space_group_name_Hall 'F -4 2 3'
_cell_length_a 6.493
_cell_length_b 6.493
_cell_length_c 6.493
_cell_angle_alpha 90.00
_cell_angle_beta 90.00
_cell_angle_gamma 90.00
loop_
_atom_site_label
_atom_site_type_symbol
_atom_site_fract_x
_atom_site_fract_y
_atom_site_fract_z
Mg1 Mg 0.000 0.000 0.000
In1 In 0.000 0.000 0.500
Ni1 Ni 0.250 0.250 0.750
Ag1 Ag 0.250 0.250 0.250
# Total magnetic moment (μB per formula unit): 0.0
# Total energy (eV per atom): -3.364
# ΔE_f (eV/atom): -0.12